# 1
K2ZnAu (meta-GGA SCAN, single point on PBEsol structure); formation energy = -244 meV per atom; M_tot = 0.0000 μB/atom; DOS at the Fermi energy = 1.35 states/eV per cell; excess energy over the best structure of this formula in the dataset = 0 meV/atom
1.0
4.5971 0.0000 0.0000
0.0000 2.4293 5.8712
0.0000 -2.4293 5.8712
K Zn Au
2 1 1
Direct
0.0000 0.0000 0.0000
0.5000 0.2975 0.2975
0.0000 0.6926 0.6926
0.5000 0.6007 0.6007


# 2
K2ZrAu (meta-GGA SCAN, single point on PBEsol structure); formation energy = 362 meV per atom; M_tot = 0.2608 μB/atom; DOS at the Fermi energy = 2.29 states/eV per cell; excess energy over the best structure of this formula in the dataset = 273 meV/atom
1.0
4.5588 0.0000 0.0000
0.0000 3.7653 0.0000
-0.0092 0.0000 6.0726
K Zr Au
2 1 1
Direct
0.0000 0.0000 0.0000
0.5000 0.5000 0.0000
0.0000 0.5000 0.5000
0.5000 0.0000 0.5000


# 3
K2ZrAu (meta-GGA SCAN, single point on PBEsol structure); formation energy = 330 meV per atom; M_tot = 0.1033 μB/atom; DOS at the Fermi energy = 2.71 states/eV per cell; excess energy over the best structure of this formula in the dataset = 242 meV/atom
1.0
-1.5585 3.1379 6.7966
1.5585 -3.1379 6.7966
1.5585 3.1379 -6.7966
K Zr Au
2 1 1
Direct
0.0000 0.0000 0.0000
0.6916 0.1916 0.5000
0.3774 0.3774 0.0000
0.2149 0.7149 0.5000


# 4
K2ZrAu (meta-GGA SCAN, single point on PBEsol structure); formation energy = 88 meV per atom; M_tot = 0.0001 μB/atom; DOS at the Fermi energy = 1.80 states/eV per cell; excess energy over the best structure of this formula in the dataset = 0 meV/atom
1.0
4.6620 -1.7673 0.0000
4.6620 1.7673 0.0000
-2.4109 0.0000 9.4372
K Zr Au
2 1 1
Direct
0.0000 0.0000 0.0000
0.1538 0.1538 0.5937
0.8057 0.8057 0.2969
0.5199 0.5199 0.2969